Entry from the Alexandria database: an optimized crystal structure of AcZn4Ga (GGA-PBE).

As for the magnetic moment: 0.000 Bohr magnetons per cell. The value obtained for the relative energy among the computed polymorphs is 55 meV/atom. The formation energy is -12 kJ per mole of atoms. Its density of states at the Fermi level is 13.11 states/eV/cell.

The space group is F-43m (No. 216) and the conventional cell measures 7.9288, 7.9288 and 7.9288 Å, with angles of 90.00, 90.00 and 90.00 degrees. The distinct sites, in fractional coordinates, are Ac at (0.0000, 0.0000, 0.0000), Zn at (0.1242, 0.1242, 0.3758) and Ga at (0.2500, 0.2500, 0.7500).

=====

Entry from the Alexandria database: an optimized crystal structure of NdY2ErSe6 (GGA-PBE).

As for the magnetic moment: 0.000 Bohr magnetons per cell. Its density of states at the Fermi level is 0.00 states/eV/cell. As for the uncorrected formation energy: -1.850 eV/atom.

The space group is R3 (No. 146, hexagonal axes) and the conventional cell measures 7.2655, 7.2655 and 19.5161 Å, with angles of 90.00, 90.00 and 120.00 degrees. The distinct sites, in fractional coordinates, are Nd at (0.0000, 0.0000, 0.0000), Y at (0.0000, 0.0000, 0.1986), Y at (0.0000, 0.0000, 0.7021), Er at (0.0000, 0.0000, 0.5052), Se at (0.0017, 0.3097, 0.1037) and Se at (0.0429, 0.6818, 0.2693).

=====

Entry from the Alexandria database: an optimized crystal structure of SmLuMnCd (GGA-PBE).

As for the magnetic moment: 12.549 Bohr magnetons per cell. The formation energy is 0 kJ per mole of atoms. Its density of states at the Fermi level is 22.67 states/eV/cell.

The space group is F-43m (No. 216) and the conventional cell measures 7.3043, 7.3043 and 7.3043 Å, with angles of 90.00, 90.00 and 90.00 degrees. The distinct sites, in fractional coordinates, are Sm at (0.0000, 0.0000, 0.0000), Lu at (0.0000, 0.0000, 0.5000), Mn at (0.2500, 0.2500, 0.2500) and Cd at (0.2500, 0.2500, 0.7500).

=====

Entry from the Alexandria database: an optimized crystal structure of CaAcPI (GGA-PBE).

As for the magnetic moment: 2.433 Bohr magnetons per cell. Its density of states at the Fermi level is 3.77 states/eV/cell. As for the uncorrected formation energy: -1.320 eV/atom.

The space group is R3m (No. 160, hexagonal axes) and the conventional cell measures 4.3354, 4.3354 and 23.9146 Å, with angles of 90.00, 90.00 and 120.00 degrees. The distinct sites, in fractional coordinates, are Ca at (0.0000, 0.0000, 0.0000), Ac at (0.0000, 0.0000, 0.7967), P at (0.0000, 0.0000, 0.3910) and I at (0.0000, 0.0000, 0.5704).

=====

Entry from the Alexandria database: an optimized crystal structure of CaYPb2 (GGA-PBE).

As for the magnetic moment: 0.000 Bohr magnetons per cell. The formation energy is -8 kJ per mole of atoms. Its density of states at the Fermi level is 11.36 states/eV/cell.

The space group is F-43m (No. 216) and the conventional cell measures 7.9351, 7.9351 and 7.9351 Å, with angles of 90.00, 90.00 and 90.00 degrees. The distinct sites, in fractional coordinates, are Ca at (0.0000, 0.0000, 0.0000), Y at (0.2500, 0.2500, 0.7500), Pb at (0.0000, 0.0000, 0.5000) and Pb at (0.2500, 0.2500, 0.2500).

=====

Entry from the Alexandria database: an optimized crystal structure of TaNiS2 (GGA-PBE).

As for the magnetic moment: 0.000 Bohr magnetons per cell. The value obtained for the relative energy among the computed polymorphs is 0 meV/atom. Its density of states at the Fermi level is 4.73 states/eV/cell. As for the uncorrected formation energy: -0.713 eV/atom.

The space group is P2_1/c (No. 14) and the conventional cell measures 7.7904, 5.9329 and 7.6819 Å, with angles of 90.00, 119.35 and 90.00 degrees. The distinct sites, in fractional coordinates, are Ta at (0.0288, 0.0251, 0.3217), Ni at (0.1334, 0.6384, 0.5651), S at (0.1868, 0.2472, 0.6286) and S at (0.2886, 0.7424, 0.3918).

=====

Entry from the Alexandria database: an optimized crystal structure of Cs4CaSn3Br12 (GGA-PBE).

As for the magnetic moment: 0.000 Bohr magnetons per cell. Its density of states at the Fermi level is 0.00 states/eV/cell. As for the uncorrected formation energy: -1.401 eV/atom.

The space group is Im-3m (No. 229) and the conventional cell measures 11.7385, 11.7385 and 11.7385 Å, with angles of 90.00, 90.00 and 90.00 degrees. The distinct sites, in fractional coordinates, are Cs at (0.2500, 0.2500, 0.2500), Ca at (0.0000, 0.0000, 0.0000), Sn at (0.0000, 0.0000, 0.5000), Br at (0.0000, 0.0000, 0.2467) and Br at (0.0000, 0.2500, 0.5000).

=====

Entry from the Alexandria database: an optimized crystal structure of Mg2ZnRuPb (GGA-PBE).

As for the magnetic moment: 0.216 Bohr magnetons per cell. The formation energy is 48 kJ per mole of atoms. Its density of states at the Fermi level is 3.90 states/eV/cell.

The space group is P4/mmm (No. 123) and the conventional cell measures 4.8710, 4.8710 and 4.6929 Å, with angles of 90.00, 90.00 and 90.00 degrees. The distinct sites, in fractional coordinates, are Mg at (0.0000, 0.5000, 0.0000), Zn at (0.0000, 0.0000, 0.0000), Ru at (0.0000, 0.0000, 0.5000) and Pb at (0.5000, 0.5000, 0.5000).

=====

Entry from the Alexandria database: an optimized crystal structure of Rb2HfInSi (GGA-PBE).

As for the magnetic moment: 0.001 Bohr magnetons per cell. Its density of states at the Fermi level is 4.67 states/eV/cell. As for the uncorrected formation energy: 0.921 eV/atom.

The space group is P4/mmm (No. 123) and the conventional cell measures 7.1895, 7.1895 and 5.0221 Å, with angles of 90.00, 90.00 and 90.00 degrees. The distinct sites, in fractional coordinates, are Rb at (0.0000, 0.5000, 0.0000), Hf at (0.0000, 0.0000, 0.0000), In at (0.5000, 0.5000, 0.5000) and Si at (0.0000, 0.0000, 0.5000).

=====

Entry from the Alexandria database: an optimized crystal structure of NdUPbO6 (GGA-PBE).

As for the magnetic moment: 0.000 Bohr magnetons per cell. Its density of states at the Fermi level is 3.61 states/eV/cell. As for the uncorrected formation energy: -2.504 eV/atom.

The space group is P312 (No. 149) and the conventional cell measures 5.9952, 5.9952 and 4.8259 Å, with angles of 90.00, 90.00 and 120.00 degrees. The distinct sites, in fractional coordinates, are Nd at (0.0000, 0.0000, 0.0000), U at (0.3333, 0.6667, 0.0000), Pb at (0.6667, 0.3333, 0.5000) and O at (0.0376, 0.3678, 0.2253).

=====

Entry from the Alexandria database: an optimized crystal structure of CdSbPb3 (GGA-PBE).

As for the magnetic moment: 0.000 Bohr magnetons per cell. The value obtained for the relative energy among the computed polymorphs is 0 meV/atom. Its density of states at the Fermi level is 2.78 states/eV/cell. As for the uncorrected formation energy: 0.482 eV/atom.

The space group is Pm-3m (No. 221) and the conventional cell measures 5.6257, 5.6257 and 5.6257 Å, with angles of 90.00, 90.00 and 90.00 degrees. The distinct sites, in fractional coordinates, are Cd at (0.0000, 0.0000, 0.0000), Sb at (0.5000, 0.5000, 0.5000) and Pb at (0.0000, 0.0000, 0.5000).

=====

Entry from the Alexandria database: an optimized crystal structure of ReAs2RhSe (GGA-PBE).

As for the magnetic moment: 3.790 Bohr magnetons per cell. The value obtained for the relative energy among the computed polymorphs is 199 meV/atom. Its density of states at the Fermi level is 3.24 states/eV/cell. As for the uncorrected formation energy: 1.143 eV/atom.

The space group is P4/mmm (No. 123) and the conventional cell measures 4.5888, 4.5888 and 5.3573 Å, with angles of 90.00, 90.00 and 90.00 degrees. The distinct sites, in fractional coordinates, are Re at (0.0000, 0.0000, 0.0000), As at (0.0000, 0.5000, 0.5000), Rh at (0.0000, 0.0000, 0.5000) and Se at (0.5000, 0.5000, 0.0000).

=====

Entry from the Alexandria database: an optimized crystal structure of CoPPt2 (GGA-PBE).

As for the magnetic moment: 5.828 Bohr magnetons per cell. The formation energy is 4 kJ per mole of atoms. Its density of states at the Fermi level is 10.21 states/eV/cell.

The space group is R-3m (No. 166, hexagonal axes) and the conventional cell measures 2.8441, 2.8441 and 24.3612 Å, with angles of 90.00, 90.00 and 120.00 degrees. The distinct sites, in fractional coordinates, are Co at (0.0000, 0.0000, 0.0000), P at (0.0000, 0.0000, 0.5000) and Pt at (0.0000, 0.0000, 0.2461).

=====

Entry from the Alexandria database: an optimized crystal structure of Tb3ErMg3 (GGA-PBE).

As for the magnetic moment: 0.000 Bohr magnetons per cell. The formation energy is 8 kJ per mole of atoms. Its density of states at the Fermi level is 24.89 states/eV/cell.

The space group is C2/m (No. 12) and the conventional cell measures 10.6475, 11.1516 and 6.9671 Å, with angles of 90.00, 90.03 and 90.00 degrees. The distinct sites, in fractional coordinates, are Tb at (0.0000, 0.0000, 0.2465), Tb at (0.2500, 0.2502, 0.2518), Er at (0.1904, 0.5000, 0.9995), Mg at (0.0000, 0.2557, 0.0000), Mg at (0.0000, 0.3145, 0.5000) and Mg at (0.2219, 0.5000, 0.4999).

=====

Entry from the Alexandria database: an optimized crystal structure of Ac2CrSiPt6 (GGA-PBE).

As for the magnetic moment: 5.597 Bohr magnetons per cell. Its density of states at the Fermi level is 10.48 states/eV/cell. As for the uncorrected formation energy: -0.854 eV/atom.

The space group is Imm2 (No. 44) and the conventional cell measures 5.9072, 6.4974 and 10.6095 Å, with angles of 90.00, 90.00 and 90.00 degrees. The distinct sites, in fractional coordinates, are Ac at (0.0000, 0.0000, 0.0000), Ac at (0.0000, 0.0000, 0.4632), Cr at (0.0000, 0.5000, 0.8240), Si at (0.0000, 0.5000, 0.3447), Pt at (0.0000, 0.5000, 0.0501), Pt at (0.0000, 0.5000, 0.5656) and Pt at (0.2399, 0.2202, 0.7289).

=====

Entry from the Alexandria database: an optimized crystal structure of KCa2Mn (GGA-PBE).

As for the magnetic moment: 11.114 Bohr magnetons per cell. The value obtained for the relative energy among the computed polymorphs is 108 meV/atom. The formation energy is 43 kJ per mole of atoms. Its density of states at the Fermi level is 8.86 states/eV/cell.

The space group is R-3m (No. 166, hexagonal axes) and the conventional cell measures 3.9594, 3.9594 and 34.5405 Å, with angles of 90.00, 90.00 and 120.00 degrees. The distinct sites, in fractional coordinates, are K at (0.0000, 0.0000, 0.0000), Ca at (0.0000, 0.0000, 0.2261) and Mn at (0.0000, 0.0000, 0.5000).

=====

Entry from the Alexandria database: an optimized crystal structure of Rb2InP (GGA-PBE).

As for the magnetic moment: 0.269 Bohr magnetons per cell. The value obtained for the relative energy among the computed polymorphs is 629 meV/atom. The formation energy is 38 kJ per mole of atoms. Its density of states at the Fermi level is 15.14 states/eV/cell.

The space group is I-42d (No. 122) and the conventional cell measures 5.1030, 5.1030 and 23.4031 Å, with angles of 90.00, 90.00 and 90.00 degrees. The distinct sites, in fractional coordinates, are Rb at (0.2306, 0.2500, 0.1250), In at (0.0000, 0.0000, 0.5000) and P at (0.0000, 0.0000, 0.0000).

=====

Entry from the Alexandria database: an optimized crystal structure of MnIn2Pd2 (GGA-PBE).

As for the magnetic moment: 9.262 Bohr magnetons per cell. The value obtained for the relative energy among the computed polymorphs is 0 meV/atom. The formation energy is -23 kJ per mole of atoms. Its density of states at the Fermi level is 4.81 states/eV/cell.

The space group is P4/mbm (No. 127) and the conventional cell measures 7.2579, 7.2579 and 3.5352 Å, with angles of 90.00, 90.00 and 90.00 degrees. The distinct sites, in fractional coordinates, are Mn at (0.0000, 0.0000, 0.0000), In at (0.1590, 0.3410, 0.5000) and Pd at (0.1423, 0.6423, 0.0000).

=====

Entry from the Alexandria database: an optimized crystal structure of TaMoSe2N (GGA-PBE).

As for the magnetic moment: 3.961 Bohr magnetons per cell. The value obtained for the relative energy among the computed polymorphs is 0 meV/atom. Its density of states at the Fermi level is 3.33 states/eV/cell. As for the uncorrected formation energy: 0.438 eV/atom.

The space group is P4/mmm (No. 123) and the conventional cell measures 5.1574, 5.1574 and 3.8699 Å, with angles of 90.00, 90.00 and 90.00 degrees. The distinct sites, in fractional coordinates, are Ta at (0.0000, 0.0000, 0.0000), Mo at (0.5000, 0.5000, 0.5000), Se at (0.0000, 0.5000, 0.0000) and N at (0.0000, 0.0000, 0.5000).

=====

Going through the records in order, we get density values of 7.4, 5.4, 8.4, 5.4, 7.2, 6.5, 3.9, 6.3, 3.1, 7.6, 8.0, 7.6, 14.0, 5.8, 13.9, 1.9, 3.5, 8.9, 7.2 g/cm³.